# 1
Co2AgRuAu: optimized geometry, GGA-PBE.

Values from the calculation:
V ... 21.10 Å³ per atom
Density of states at the Fermi level ... 2.80 states/eV per atom
Theoretical density ... 8242 kg/m3
Energy of formation ... 2.021 eV per atom

Cell: 4.6022 4.6022 4.9822 Å, 90.00 90.00 90.00°
Sites, in units of the cell vectors:
Co 0.0000 0.5000 0.0000
Co 0.5000 0.0000 0.0000
Ag 0.0000 0.0000 0.5000
Ru 0.5000 0.5000 0.5000
Au 0.0000 0.0000 0.0000


# 2
Co2AgSnAu: optimized geometry, GGA-PBE.

Values from the calculation:
V ... 23.61 Å³ per atom
Density of states at the Fermi level ... 1.95 states/eV per atom
Theoretical density ... 7617 kg/m3
Energy of formation ... 1.158 eV per atom

Cell: 4.7844 4.7844 5.1566 Å, 90.00 90.00 90.00°
Sites, in units of the cell vectors:
Co 0.0000 0.5000 0.0000
Co 0.5000 0.0000 0.0000
Ag 0.0000 0.0000 0.5000
Sn 0.5000 0.5000 0.5000
Au 0.5000 0.5000 0.0000


# 3
CoTc2AgAu: optimized geometry, GGA-PBE.

Values from the calculation:
V ... 18.57 Å³ per atom
Density of states at the Fermi level ... 1.00 states/eV per atom
Theoretical density ... 10011 kg/m3
Energy of formation ... 1.215 eV per atom

Cell: 4.3974 4.3974 4.8014 Å, 90.00 90.00 90.00°
Sites, in units of the cell vectors:
Co 0.0000 0.0000 0.0000
Tc 0.0000 0.5000 0.0000
Tc 0.5000 0.0000 0.0000
Ag 0.5000 0.5000 0.5000
Au 0.0000 0.0000 0.5000


# 4
Th2CoAgAu: optimized geometry, GGA-PBE.

Values from the calculation:
V ... 22.99 Å³ per atom
Density of states at the Fermi level ... 0.90 states/eV per atom
Theoretical density ... 11959 kg/m3
Energy of formation ... -0.348 eV per atom

Cell: 7.9757 3.9227 8.0047 Å, 90.00 113.36 90.00°
Sites, in units of the cell vectors:
Th 0.1233 0.2500 0.3507
Th 0.2811 0.2500 0.9935
Th 0.7189 0.7500 0.0065
Th 0.8767 0.7500 0.6493
Co 0.0947 0.7500 0.0959
Co 0.9053 0.2500 0.9041
Ag 0.3021 0.7500 0.6855
Ag 0.6979 0.2500 0.3145
Au 0.4421 0.7500 0.3457
Au 0.5579 0.2500 0.6543


# 5
CrAgAu3: optimized geometry, GGA-PBE.

Values from the calculation:
V ... 22.51 Å³ per atom
Density of states at the Fermi level ... 0.97 states/eV per atom
Energy relative to the lowest polymorph listed for this composition ... 27 meV per atom
Theoretical density ... 11076 kg/m3
Energy of formation ... 0.990 eV per atom

Cell: 4.8283 4.8283 4.8283 Å, 90.00 90.00 90.00°
Sites, in units of the cell vectors:
Cr 0.0000 0.0000 0.0000
Ag 0.5000 0.5000 0.5000
Au 0.0000 0.0000 0.5000
Au 0.0000 0.5000 0.0000
Au 0.5000 0.0000 0.0000


# 6
CrAg2Au: optimized geometry, GGA-PBE.

Values from the calculation:
V ... 17.56 Å³ per atom
Density of states at the Fermi level ... 0.28 states/eV per atom
Energy relative to the lowest polymorph listed for this composition ... 19 meV per atom
Theoretical density ... 10984 kg/m3
Energy of formation ... 0.183 eV per atom

Cell: 6.5499 6.5499 6.5499 Å, 90.00 90.00 90.00°
Sites, in units of the cell vectors:
Cr 0.0000 0.0000 0.0000
Cr 0.0000 0.5000 0.5000
Cr 0.5000 0.0000 0.5000
Cr 0.5000 0.5000 0.0000
Ag 0.0000 0.0000 0.5000
Ag 0.0000 0.5000 0.0000
Ag 0.2500 0.2500 0.2500
Ag 0.2500 0.7500 0.7500
Ag 0.5000 0.0000 0.0000
Ag 0.5000 0.5000 0.5000
Ag 0.7500 0.2500 0.7500
Ag 0.7500 0.7500 0.2500
Au 0.2500 0.2500 0.7500
Au 0.2500 0.7500 0.2500
Au 0.7500 0.2500 0.2500
Au 0.7500 0.7500 0.7500


# 7
CrAg2Au: optimized geometry, GGA-PBE.

Values from the calculation:
V ... 17.43 Å³ per atom
Density of states at the Fermi level ... 0.54 states/eV per atom
Energy relative to the lowest polymorph listed for this composition ... 0 meV per atom
Theoretical density ... 11067 kg/m3
Energy of formation ... 0.163 eV per atom

Cell: 4.0679 4.0679 8.4269 Å, 90.00 90.00 90.00°
Sites, in units of the cell vectors:
Cr 0.0000 0.0000 0.0000
Cr 0.5000 0.5000 0.5000
Ag 0.0000 0.5000 0.2500
Ag 0.0000 0.5000 0.7500
Ag 0.5000 0.0000 0.2500
Ag 0.5000 0.0000 0.7500
Au 0.0000 0.0000 0.5000
Au 0.5000 0.5000 0.0000


# 8
CrAg2Au: optimized geometry, GGA-PBE.

Values from the calculation:
V ... 17.53 Å³ per atom
Density of states at the Fermi level ... 0.34 states/eV per atom
Energy relative to the lowest polymorph listed for this composition ... 0 meV per atom
Theoretical density ... 11007 kg/m3
Energy of formation ... 0.164 eV per atom

Cell: 4.0374 4.0374 4.3007 Å, 90.00 90.00 90.00°
Sites, in units of the cell vectors:
Cr 0.0000 0.0000 0.0000
Ag 0.0000 0.5000 0.5000
Ag 0.5000 0.0000 0.5000
Au 0.5000 0.5000 0.0000


# 9
CrAg2Au: optimized geometry, GGA-PBE.

Values from the calculation:
V ... 17.51 Å³ per atom
Density of states at the Fermi level ... 0.45 states/eV per atom
Energy relative to the lowest polymorph listed for this composition ... 23 meV per atom
Theoretical density ... 11017 kg/m3
Energy of formation ... 0.187 eV per atom

Cell: 9.7742 2.9869 4.8927 Å, 90.00 101.28 90.00°
Sites, in units of the cell vectors:
Cr 0.0000 0.0000 0.0000
Cr 0.5000 0.5000 0.0000
Ag 0.2485 0.5000 0.2465
Ag 0.2515 0.0000 0.7535
Ag 0.7485 0.0000 0.2465
Ag 0.7515 0.5000 0.7535
Au 0.0000 0.5000 0.5000
Au 0.5000 0.0000 0.5000


# 10
CrAg4Au: optimized geometry, GGA-PBE.

Values from the calculation:
V ... 18.85 Å³ per atom
Density of states at the Fermi level ... 0.33 states/eV per atom
Theoretical density ... 9988 kg/m3
Energy of formation ... 0.312 eV per atom

Cell: 5.4287 5.4287 5.4287 Å, 60.00 60.00 60.00°
Sites, in units of the cell vectors:
Cr 0.0000 0.0000 0.0000
Ag 0.1249 0.6250 0.6250
Ag 0.6250 0.1249 0.6250
Ag 0.6250 0.6250 0.1249
Ag 0.6250 0.6250 0.6250
Au 0.2500 0.2500 0.2500


# 11
CrAgAu: optimized geometry, GGA-PBE.

Values from the calculation:
V ... 17.52 Å³ per atom
Density of states at the Fermi level ... 0.54 states/eV per atom
Energy relative to the lowest polymorph listed for this composition ... 67 meV per atom
Theoretical density ... 11276 kg/m3
Energy of formation ... 0.290 eV per atom

Cell: 4.5839 4.5839 2.8875 Å, 90.00 90.00 120.00°
Sites, in units of the cell vectors:
Cr 0.0000 0.0000 0.0000
Ag 0.6667 0.3333 0.3283
Au 0.3333 0.6667 0.6817


# 12
CrAg2Au: optimized geometry, GGA-PBE.

Values from the calculation:
V ... 17.64 Å³ per atom
Density of states at the Fermi level ... 0.45 states/eV per atom
Energy relative to the lowest polymorph listed for this composition ... 69 meV per atom
Theoretical density ... 10934 kg/m3
Energy of formation ... 0.232 eV per atom

Cell: 6.5599 6.5599 6.5599 Å, 90.00 90.00 90.00°
Sites, in units of the cell vectors:
Cr 0.0000 0.0000 0.0000
Cr 0.0000 0.5000 0.5000
Cr 0.5000 0.0000 0.5000
Cr 0.5000 0.5000 0.0000
Ag 0.2500 0.2500 0.2500
Ag 0.2500 0.2500 0.7500
Ag 0.2500 0.7500 0.2500
Ag 0.2500 0.7500 0.7500
Ag 0.7500 0.2500 0.2500
Ag 0.7500 0.2500 0.7500
Ag 0.7500 0.7500 0.2500
Ag 0.7500 0.7500 0.7500
Au 0.0000 0.0000 0.5000
Au 0.0000 0.5000 0.0000
Au 0.5000 0.0000 0.0000
Au 0.5000 0.5000 0.5000


Repeat the first record exactly.
Co2AgRuAu: optimized geometry, GGA-PBE.

Values from the calculation:
V ... 21.10 Å³ per atom
Density of states at the Fermi level ... 2.80 states/eV per atom
Theoretical density ... 8242 kg/m3
Energy of formation ... 2.021 eV per atom

Cell: 4.6022 4.6022 4.9822 Å, 90.00 90.00 90.00°
Sites, in units of the cell vectors:
Co 0.0000 0.5000 0.0000
Co 0.5000 0.0000 0.0000
Ag 0.0000 0.0000 0.5000
Ru 0.5000 0.5000 0.5000
Au 0.0000 0.0000 0.0000


Please write out number 6 again, unchanged.
CrAg2Au: optimized geometry, GGA-PBE.

Values from the calculation:
V ... 17.56 Å³ per atom
Density of states at the Fermi level ... 0.28 states/eV per atom
Energy relative to the lowest polymorph listed for this composition ... 19 meV per atom
Theoretical density ... 10984 kg/m3
Energy of formation ... 0.183 eV per atom

Cell: 6.5499 6.5499 6.5499 Å, 90.00 90.00 90.00°
Sites, in units of the cell vectors:
Cr 0.0000 0.0000 0.0000
Cr 0.0000 0.5000 0.5000
Cr 0.5000 0.0000 0.5000
Cr 0.5000 0.5000 0.0000
Ag 0.0000 0.0000 0.5000
Ag 0.0000 0.5000 0.0000
Ag 0.2500 0.2500 0.2500
Ag 0.2500 0.7500 0.7500
Ag 0.5000 0.0000 0.0000
Ag 0.5000 0.5000 0.5000
Ag 0.7500 0.2500 0.7500
Ag 0.7500 0.7500 0.2500
Au 0.2500 0.2500 0.7500
Au 0.2500 0.7500 0.2500
Au 0.7500 0.2500 0.2500
Au 0.7500 0.7500 0.7500


Q: Which of these has the lowest energy of formation?
A: Th2CoAgAu